The following is a DFT calculation (PBE) of a geometry-optimized V2Cr4W structure.

The structure belongs to space group I4/mmm (No. 139); the cell edges are 4.1127, 4.1127 and 11.6226 Å and the angles 90.00°, 90.00° and 90.00°. The distinct sites, in fractional coordinates, are V at (0.0000, 0.0000, 0.2467), Cr at (0.0000, 0.5000, 0.1263) and W at (0.0000, 0.0000, 0.5000).

The energy relative to the elements comes out at 0.47 eV/atom.